No. 1
BeCo2Tc | PBE | relaxed

Summary:
Crystal system: monoclinic
Formation energy from the elements in eV/atom: 0.00
Relative energy among the computed polymorphs in kcal/mol of atoms: 3.81
Spin magnetization in μB per formula unit: 1.10
VASP energy in Ha/atom: -0.260

Lattice parameters (Å, degrees): 2.5224 3.7339 4.7775 90.00 103.58 90.00
Space group P2/m (No. 10)
Asymmetric unit:
1 Be 0.0000 0.0000 0.0000
2 Co 0.4052 0.5000 0.2310
3 Tc 0.0000 0.0000 0.5000


No. 2
ThPa2Nb | PBE | relaxed

Summary:
Crystal system: tetragonal
Formation energy from the elements in eV/atom: 0.15
Relative energy among the computed polymorphs in kcal/mol of atoms: 0.00
Spin magnetization in μB per formula unit: 0.00
VASP energy in Ha/atom: -0.329

Lattice parameters (Å, degrees): 3.5280 3.5280 8.0803 90.00 90.00 90.00
Space group P4/mmm (No. 123)
Asymmetric unit:
1 Th 0.0000 0.0000 0.0000
2 Pa 0.5000 0.5000 0.2819
3 Nb 0.0000 0.0000 0.5000


No. 3
LaFeMo2 | PBE | relaxed

Summary:
Crystal system: orthorhombic
Formation energy from the elements in eV/atom: 0.64
Relative energy among the computed polymorphs in kcal/mol of atoms: 4.34
Spin magnetization in μB per formula unit: 2.03
VASP energy in Ha/atom: -0.299

Lattice parameters (Å, degrees): 3.2251 4.5004 4.9907 90.00 90.00 90.00
Space group Pmmm (No. 47)
Asymmetric unit:
1 La 0.0000 0.0000 0.0000
2 Fe 0.5000 0.5000 0.0000
3 Mo 0.0000 0.5000 0.5000
4 Mo 0.5000 0.0000 0.5000


No. 4
Sr2Zn2Cu | PBE | relaxed

Summary:
Crystal system: tetragonal
Formation energy from the elements in eV/atom: 0.03
Relative energy among the computed polymorphs in kcal/mol of atoms: 4.66
Spin magnetization in μB per formula unit: 0.00
VASP energy in Ha/atom: -0.073

Lattice parameters (Å, degrees): 6.1679 6.1679 7.4153 90.00 90.00 90.00
Space group I4/mmm (No. 139)
Asymmetric unit:
1 Sr 0.0000 0.5000 0.2500
2 Zn 0.0000 0.0000 0.1626
3 Cu 0.0000 0.0000 0.5000